An optimized crystal structure of TmSc2In9, computed with GGA-PBE.

Summary:
V (Å³/cell): 283
Uncorrected energy (eV/atom): -3.806
DFT formation energy (kJ per mole of atoms): -31

abc: 4.554 4.554 13.664
angles: 90.00 90.00 90.00
Space group P4/mmm (No. 123)
Inequivalent atoms, fractional coordinates:
1 Tm 0.000 0.000 0.000
2 Sc 0.000 0.000 0.336
3 In 0.000 0.500 0.171
4 In 0.000 0.500 0.500
5 In 0.500 0.500 0.000
6 In 0.500 0.500 0.335